1.
Material: ZnSb2TeAs
Method: DFT, PBE
State: optimized geometry

a b c (Å): 5.373 5.373 5.556
angles (deg): 90.00 90.00 90.00
Sites, in units of the cell vectors:
Zn 0.500 0.500 0.500
As 0.000 0.000 0.000
Te 0.000 0.000 0.500
Sb 0.500 0.000 0.000
Sb 0.000 0.500 0.000

Calculated values
Space group   P4/mmm, No. 123
Formation energy from raw total energies   0.6842 eV per atom
Total magnetic moment   0.00 μB/f.u.
Energy relative to the lowest polymorph listed for this composition   0.0 meV/atom


2.
Material: Pr4In12Pd
Method: DFT, PBE
State: optimized geometry

a b c (Å): 8.271 8.271 8.271
angles (deg): 109.47 109.47 109.47
Sites, in units of the cell vectors:
In 0.250 0.500 0.750
In 0.715 0.715 0.000
In 0.500 0.250 0.750
In 0.750 0.250 0.500
In 0.500 0.750 0.250
In 0.285 0.285 0.000
In 0.000 0.285 0.285
In 0.750 0.500 0.250
In 0.000 0.715 0.715
In 0.250 0.750 0.500
In 0.715 0.000 0.715
In 0.285 0.000 0.285
Pr 0.000 0.500 0.000
Pr 0.000 0.000 0.500
Pr 0.500 0.500 0.500
Pr 0.500 0.000 0.000
Pd 0.000 0.000 0.000

Calculated values
Space group   Im-3m, No. 229
Total magnetic moment   0.00 μB/f.u.
Total energy   -0.284 Ry per atom


3.
Material: NaYbTiNbO6F
Method: DFT, PBE
State: optimized geometry

a b c (Å): 7.328 7.328 7.328
angles (deg): 121.55 118.19 90.25
Site moments in Bohr magnetons follow the coordinates.
Sites, in units of the cell vectors:
O 0.925 0.175 0.750  0.11
O 0.937 0.585 0.767  0.07
O 0.318 0.585 0.148  0.07
O 0.063 0.415 0.233  0.07
O 0.937 0.170 0.352  0.07
O 0.682 0.830 0.267  0.07
O 0.075 0.825 0.250  0.11
O 0.063 0.830 0.648  0.07
O 0.682 0.415 0.852  0.07
O 0.318 0.170 0.733  0.07
O 0.681 0.431 0.250  0.04
O 0.319 0.569 0.750  0.04
Yb 0.500 0.000 0.500  0.54
Yb 0.000 0.000 0.000  0.54
F 0.632 0.882 0.750  0.01
F 0.368 0.118 0.250  0.01
Nb 0.500 0.500 0.000  -0.02
Nb 0.000 0.500 0.500  -0.02
Ti 0.000 0.000 0.500  -0.02
Ti 0.000 0.500 0.000  -0.02
Na 0.500 0.000 0.000  0.00
Na 0.500 0.500 0.500  0.00

Calculated values
Space group   Imma, No. 74
Formation energy from raw total energies   -2.7800 eV per atom
Total magnetic moment   1.01 μB/f.u.
Energy relative to the lowest polymorph listed for this composition   3.0 meV/atom


4.
Material: CaZnCr2
Method: DFT, PBE
State: optimized geometry

a b c (Å): 5.741 5.741 5.097
angles (deg): 63.17 63.17 33.78
Site moments in Bohr magnetons follow the coordinates.
Sites, in units of the cell vectors:
Cr 0.035 0.035 0.965  3.67
Cr 0.465 0.465 0.535  3.67
Ca 0.250 0.250 0.250  0.01
Zn 0.750 0.750 0.750  -0.04

Calculated values
Space group   C2/m, No. 12
Total magnetic moment   8.25 μB/f.u.
Total energy   -0.368 Ry per atom


5.
Material: NaCeCu2S4
Method: DFT, PBE
State: optimized geometry

a b c (Å): 6.536 5.886 5.886
angles (deg): 67.46 56.27 56.27
Site moments in Bohr magnetons follow the coordinates.
Sites, in units of the cell vectors:
S 0.017 0.524 0.983  -0.02
S 0.983 0.017 0.476  -0.02
S 0.476 0.983 0.524  -0.02
S 0.524 0.476 0.017  -0.02
Cu 0.750 0.750 0.750  -0.01
Cu 0.250 0.250 0.250  -0.01
Ce 0.500 0.500 0.500  0.35
Na 0.000 0.000 0.000  0.00

Calculated values
Space group   I-42m, No. 121
Formation energy from raw total energies   -0.8704 eV per atom
Total magnetic moment   0.25 μB/f.u.


6.
Material: Th2AgGe4Rh3
Method: DFT, PBE
State: optimized geometry

a b c (Å): 4.324 4.324 10.179
angles (deg): 90.00 90.00 90.00
Sites, in units of the cell vectors:
Rh 0.000 0.500 0.121
Rh 0.500 0.000 0.879
Rh 0.000 0.000 0.500
Ge 0.000 0.500 0.360
Ge 0.500 0.500 0.000
Ge 0.000 0.000 0.000
Ge 0.500 0.000 0.640
Ag 0.500 0.500 0.500
Th 0.500 0.000 0.243
Th 0.000 0.500 0.757

Calculated values
Space group   P-4m2, No. 115
Total magnetic moment   0.00 μB/f.u.
Total energy   -0.482 Ry per atom


7.
Material: GaNiSn2Bi
Method: DFT, PBE
State: optimized geometry

a b c (Å): 5.089 5.089 4.694
angles (deg): 90.00 90.00 90.00
Sites, in units of the cell vectors:
Sn 0.000 0.500 0.000
Sn 0.500 0.000 0.000
Bi 0.500 0.500 0.500
Ga 0.000 0.000 0.500
Ni 0.000 0.000 0.000

Calculated values
Space group   P4/mmm, No. 123
Total magnetic moment   0.00 μB/f.u.
Total energy   -0.305 Ry per atom


8.
Material: LiPuIr
Method: DFT, PBE
State: optimized geometry

a b c (Å): 3.459 3.459 5.206
angles (deg): 109.40 109.40 90.00
Site moments in Bohr magnetons follow the coordinates.
Sites, in units of the cell vectors:
Li 0.639 0.639 0.278  0.06
Pu 0.938 0.938 0.876  5.22
Ir 0.273 0.273 0.546  -0.31

Calculated values
Space group   I4mm, No. 107
Total magnetic moment   5.34 μB/f.u.
Energy relative to the lowest polymorph listed for this composition   258.7 meV/atom


9.
Material: K6Rb2NaCl
Method: DFT, PBE
State: optimized geometry

a b c (Å): 9.887 9.888 9.892
angles (deg): 120.52 120.52 89.50
Sites, in units of the cell vectors:
K 0.769 0.232 0.001
K 0.232 0.233 0.461
K 0.234 0.234 0.004
K 0.232 0.770 0.001
K 0.766 0.766 0.535
K 0.767 0.768 0.998
Rb 0.754 0.249 0.502
Rb 0.249 0.754 0.502
Na 0.498 0.499 0.997
Cl 0.999 0.000 0.998

Calculated values
Space group   Cm, No. 8
Formation energy from raw total energies   -0.3148 eV per atom
Total magnetic moment   0.00 μB/f.u.


10.
Material: Mg3Ga9Pt2
Method: DFT, PBE
State: optimized geometry

a b c (Å): 4.376 7.886 7.886
angles (deg): 76.64 73.89 73.89
Sites, in units of the cell vectors:
Mg 0.000 0.000 0.000
Mg 0.708 0.292 0.292
Mg 0.292 0.708 0.708
Ga 0.858 0.421 0.862
Ga 0.642 0.727 0.989
Ga 0.858 0.862 0.421
Ga 0.000 0.500 0.500
Ga 0.142 0.579 0.138
Ga 0.358 0.273 0.011
Ga 0.358 0.011 0.273
Ga 0.142 0.138 0.579
Ga 0.642 0.989 0.727
Pt 0.500 0.656 0.344
Pt 0.500 0.344 0.656

Calculated values
Space group   Immm, No. 71
Total magnetic moment   0.00 μB/f.u.
Total energy   -0.254 Ry per atom


11.
Material: Er5Se5N
Method: DFT, PBE
State: optimized geometry

a b c (Å): 5.596 6.807 7.791
angles (deg): 107.32 90.00 114.27
Sites, in units of the cell vectors:
Er 0.853 0.705 0.701
Er 0.149 0.297 0.850
Er 0.147 0.295 0.299
Er 0.851 0.703 0.150
Er 0.500 0.000 0.000
Se 0.337 0.675 0.178
Se 0.663 0.325 0.822
Se 0.325 0.651 0.665
Se 0.675 0.349 0.335
Se 0.000 0.000 0.500
N 0.000 0.000 0.000

Calculated values
Space group   C2/m, No. 12
Formation energy from raw total energies   -1.7347 eV per atom
Total magnetic moment   0.00 μB/f.u.


12.
Material: PrMnP
Method: DFT, PBE
State: optimized geometry

a b c (Å): 3.775 3.775 8.576
angles (deg): 90.00 90.00 90.00
Site moments in Bohr magnetons follow the coordinates.
Sites, in units of the cell vectors:
Pr 0.500 0.000 0.197  -0.10
Pr 0.000 0.500 0.803  -0.10
Mn 0.500 0.500 0.500  1.36
Mn 0.000 0.000 0.500  1.36
P 0.500 0.000 0.651  -0.06
P 0.000 0.500 0.349  -0.06

Calculated values
Space group   P4/nmm, No. 129
Total magnetic moment   1.10 μB/f.u.
Total energy   -0.538 Ry per atom


13.
Material: Rb2NaIn3I6
Method: DFT, PBE
State: optimized geometry

a b c (Å): 5.024 10.138 11.238
angles (deg): 102.09 102.92 90.00
Sites, in units of the cell vectors:
I 0.337 0.411 0.674
I 0.663 0.589 0.326
I 0.349 0.937 0.699
I 0.007 0.766 0.014
I 0.993 0.234 0.986
I 0.651 0.063 0.301
In 0.500 0.500 0.000
In 0.836 0.164 0.673
In 0.164 0.836 0.327
Na 0.500 0.000 0.000
Rb 0.165 0.327 0.330
Rb 0.835 0.673 0.670

Calculated values
Space group   C2/m, No. 12
Formation energy from raw total energies   -0.9176 eV per atom
Total magnetic moment   0.00 μB/f.u.


14.
Material: SbTeCI2
Method: DFT, PBE
State: optimized geometry

a b c (Å): 5.957 5.957 5.927
angles (deg): 90.00 90.00 90.00
Site moments in Bohr magnetons follow the coordinates.
Sites, in units of the cell vectors:
I 0.500 0.000 0.000  -0.04
I 0.000 0.500 0.000  -0.04
Te 0.000 0.000 0.500  -0.44
Sb 0.000 0.000 0.000  0.04
C 0.500 0.500 0.500  0.94

Calculated values
Space group   P4/mmm, No. 123
Formation energy from raw total energies   1.6040 eV per atom
Total magnetic moment   1.09 μB/f.u.
Energy relative to the lowest polymorph listed for this composition   504.6 meV/atom


15.
Material: InPPd2
Method: DFT, PBE
State: optimized geometry

a b c (Å): 4.510 4.510 8.421
angles (deg): 74.47 74.47 90.00
Sites, in units of the cell vectors:
Pd 0.203 0.625 0.250
Pd 0.547 0.125 0.250
Pd 0.375 0.453 0.750
Pd 0.875 0.797 0.750
P 0.500 0.500 0.000
P 0.250 0.750 0.500
In 0.000 0.000 0.000
In 0.750 0.250 0.500

Calculated values
Space group   I-42d, No. 122
Total magnetic moment   0.00 μB/f.u.
Total energy   -0.357 Ry per atom


16.
Material: Sc3Ag2
Method: DFT, PBE
State: optimized geometry

a b c (Å): 12.176 12.176 12.176
angles (deg): 15.21 15.21 15.21
Site moments in Bohr magnetons follow the coordinates.
Sites, in units of the cell vectors:
Ag 0.602 0.602 0.602  0.00
Ag 0.398 0.398 0.398  0.00
Sc 0.797 0.797 0.797  0.14
Sc 0.000 0.000 0.000  0.02
Sc 0.203 0.203 0.203  0.14

Calculated values
Space group   R-3m, No. 166
Total magnetic moment   0.48 μB/f.u.
Energy relative to the lowest polymorph listed for this composition   188.6 meV/atom


17.
Material: NaYC
Method: DFT, PBE
State: optimized geometry

a b c (Å): 3.534 5.879 7.703
angles (deg): 90.07 117.39 90.00
Sites, in units of the cell vectors:
C 0.397 0.540 0.053
C 0.397 0.040 0.053
Na 0.080 0.290 0.737
Na 0.714 0.791 0.369
Y 0.769 0.790 0.925
Y 0.025 0.290 0.180

Calculated values
Space group   P-1, No. 2
Total magnetic moment   0.00 μB/f.u.
Energy relative to the lowest polymorph listed for this composition   425.4 meV/atom


18.
Material: Mn2IrOs
Method: DFT, PBE
State: optimized geometry

a b c (Å): 4.516 4.516 4.619
angles (deg): 80.31 80.31 34.23
Site moments in Bohr magnetons follow the coordinates.
Sites, in units of the cell vectors:
Os 0.250 0.250 0.250  -0.12
Mn 0.500 0.500 0.498  1.38
Mn 0.000 0.000 0.002  1.38
Ir 0.750 0.750 0.750  -0.05

Calculated values
Space group   C2/m, No. 12
Total magnetic moment   2.68 μB/f.u.
Energy relative to the lowest polymorph listed for this composition   141.7 meV/atom


19.
Material: Mg4MoPb
Method: DFT, PBE
State: optimized geometry

a b c (Å): 5.735 5.735 5.735
angles (deg): 60.00 60.00 60.00
Site moments in Bohr magnetons follow the coordinates.
Sites, in units of the cell vectors:
Pb 0.000 0.000 0.000  0.00
Mg 0.376 0.872 0.376  0.00
Mg 0.376 0.376 0.376  0.00
Mg 0.376 0.376 0.872  0.00
Mg 0.872 0.376 0.376  0.00
Mo 0.750 0.750 0.750  2.62

Calculated values
Space group   F-43m, No. 216
Total magnetic moment   3.36 μB/f.u.
Total energy   -0.222 Ry per atom


20.
Material: Pm5Nd3Tl2
Method: DFT, PBE
State: optimized geometry

a b c (Å): 6.691 10.714 10.714
angles (deg): 92.37 71.80 71.80
Sites, in units of the cell vectors:
Tl 0.369 0.986 0.276
Tl 0.869 0.276 0.986
Tl 0.631 0.014 0.724
Tl 0.131 0.724 0.014
Pm 0.750 0.500 0.500
Pm 0.498 0.252 0.252
Pm 0.250 0.500 0.500
Pm 0.620 0.218 0.543
Pm 0.502 0.748 0.748
Pm 0.120 0.543 0.218
Pm 0.380 0.782 0.457
Pm 0.002 0.748 0.748
Pm 0.880 0.457 0.782
Pm 0.998 0.252 0.252
Nd 0.119 0.121 0.641
Nd 0.881 0.879 0.359
Nd 0.250 0.000 0.000
Nd 0.381 0.359 0.879
Nd 0.750 0.000 0.000
Nd 0.619 0.641 0.121

Calculated values
Space group   Ibam, No. 72
Total magnetic moment   0.00 μB/f.u.
Total energy   -0.309 Ry per atom


21.
Material: MgTlSi2
Method: DFT, PBE
State: optimized geometry

a b c (Å): 3.157 3.157 8.370
angles (deg): 90.00 90.00 90.96
Sites, in units of the cell vectors:
Si 0.000 0.000 0.961
Si 0.000 0.000 0.539
Mg 0.500 0.500 0.750
Tl 0.500 0.500 0.250

Calculated values
Space group   Cmmm, No. 65
Formation energy from raw total energies   0.3637 eV per atom
Total magnetic moment   0.00 μB/f.u.
Energy relative to the lowest polymorph listed for this composition   205.9 meV/atom


22.
Material: Ac2Pr2Se2S3
Method: DFT, PBE
State: optimized geometry

a b c (Å): 5.678 5.678 8.835
angles (deg): 108.74 108.74 90.00
Sites, in units of the cell vectors:
S 0.000 0.000 0.000
S 0.250 0.750 0.500
S 0.750 0.250 0.500
Ac 0.800 0.800 0.601
Ac 0.200 0.200 0.399
Pr 0.000 0.500 0.000
Pr 0.500 0.000 0.000
Se 0.601 0.601 0.202
Se 0.399 0.399 0.798

Calculated values
Space group   I4/mmm, No. 139
Formation energy from raw total energies   -1.7534 eV per atom
Total magnetic moment   0.00 μB/f.u.


23.
Material: CaAu2Br
Method: DFT, PBE
State: optimized geometry

a b c (Å): 5.840 4.043 4.054
angles (deg): 89.08 90.00 90.00
Sites, in units of the cell vectors:
Au 0.000 0.994 0.994
Au 0.000 0.506 0.506
Ca 0.500 0.750 0.750
Br 0.500 0.250 0.250

Calculated values
Space group   P2/m, No. 10
Formation energy from raw total energies   -0.7133 eV per atom
Total magnetic moment   0.00 μB/f.u.
Energy relative to the lowest polymorph listed for this composition   170.9 meV/atom


24.
Material: Ca2ErGe3Pt4
Method: DFT, PBE
State: optimized geometry

a b c (Å): 4.272 4.272 11.189
angles (deg): 90.00 90.00 90.00
Sites, in units of the cell vectors:
Ge 0.000 0.000 0.500
Ge 0.000 0.500 0.125
Ge 0.500 0.000 0.875
Ca 0.500 0.000 0.229
Ca 0.000 0.500 0.771
Pt 0.500 0.000 0.657
Pt 0.500 0.500 0.000
Pt 0.000 0.500 0.343
Pt 0.000 0.000 0.000
Er 0.500 0.500 0.500

Calculated values
Space group   P-4m2, No. 115
Total magnetic moment   0.00 μB/f.u.
Total energy   -0.408 Ry per atom